Compound: Y2BOs
Source: OQMD via LeMat-Bulk
Functional: PBE
Structure: optimized geometry

```
Y2BOs
1.0
6.5277 0.0000 0.0000
0.0000 6.5277 0.0000
0.0000 0.0000 6.5277
Y B Os
8 4 4
Cartesian
0.0000 0.0000 0.0000
0.0000 3.2638 3.2638
1.6319 1.6319 1.6319
1.6319 4.8958 4.8958
3.2638 0.0000 3.2638
3.2638 3.2638 0.0000
4.8958 1.6319 4.8958
4.8958 4.8958 1.6319
0.0000 0.0000 3.2638
0.0000 3.2638 0.0000
3.2638 0.0000 0.0000
3.2638 3.2638 3.2638
1.6319 1.6319 4.8958
1.6319 4.8958 1.6319
4.8958 1.6319 1.6319
4.8958 4.8958 4.8958
```

Computed properties:
DFT total energy (eV/atom): -7.163
M_tot (μB/f.u.): 0.002
Mass density (g/cm3): 9.05